[1]
Compound: Pm2TmSc
Source: Alexandria
Functional: GGA-PBE
Structure: relaxed

The total energy is -4.8629 eV per atom. Its symmetry is R-3m. For the formation energy from the elements, the calculation gives 213 meV per atom. The total magnetic moment comes out at 0.00 μB per formula unit.

a = 12.3867 Å, b = 12.3867 Å, c = 12.3867 Å
α = 15.97°, β = 15.97°, γ = 15.97°
With the nearest neighbours (Å) after each atom.
Atoms (fractional coordinates):
Pm1 0.0912 0.0912 0.0912  1 Tm 3.35, 3 Sc 3.41, 6 Pm 3.44
Pm2 0.9088 0.9088 0.9088  1 Tm 3.35, 3 Sc 3.41, 6 Pm 3.44
Tm1 0.0000 0.0000 0.0000  2 Pm 3.35, 6 Tm 3.44
Sc1 0.5000 0.5000 0.5000  6 Pm 3.41, 6 Sc 3.44

---

[2]
Compound: Na3SmNp3S8
Source: Alexandria
Functional: GGA-PBE
Structure: relaxed

The total energy is -6.9863 eV per atom. The value obtained for the formation energy without anion corrections is -2342 kJ/mol of formula units. Its symmetry is C2/m. The total magnetic moment comes out at 11.00 μB per formula unit.

a = 8.1180 Å, b = 8.1180 Å, c = 8.1677 Å
α = 119.80°, β = 119.80°, γ = 60.00°
With the nearest neighbours (Å) after each atom.
Atoms (fractional coordinates):
Na1 0.0000 0.0000 0.0000  6 S 2.97-3.00
Na2 0.0000 0.5000 0.0000  6 S 2.99-3.01
Na3 0.5000 0.0000 0.0000  6 S 2.99-3.01
Sm1 0.0000 0.0000 0.5000  6 S 2.80
Np1 0.0000 0.5000 0.5000  6 S 2.75-2.78
Np2 0.5000 0.0000 0.5000  6 S 2.75-2.78
Np3 0.5000 0.5000 0.5000  6 S 2.77-2.79
S1 0.2413 0.7365 0.7215  2 Np 2.75-2.77, 1 Sm 2.80, 2 Na 3.00-3.01
S2 0.2426 0.2426 0.7204  2 Np 2.75, 1 Sm 2.80, 2 Na 3.01
S3 0.2576 0.2576 0.2754  3 Np 2.78-2.79, 3 Na 2.97-2.99
S4 0.2635 0.7587 0.2785  2 Np 2.75-2.77, 1 Sm 2.80, 2 Na 3.00-3.01
S5 0.7365 0.2413 0.7215  2 Np 2.75-2.77, 1 Sm 2.80, 2 Na 3.00-3.01
S6 0.7424 0.7424 0.7246  3 Np 2.78-2.79, 3 Na 2.97-2.99
S7 0.7574 0.7574 0.2796  2 Np 2.75, 1 Sm 2.80, 2 Na 3.01
S8 0.7587 0.2635 0.2785  2 Np 2.75-2.77, 1 Sm 2.80, 2 Na 3.00-3.01

---

[3]
Compound: ScNi2Ir
Source: Alexandria
Functional: GGA-PBE
Structure: relaxed

The total energy is -6.9539 eV per atom. Its symmetry is F-43m. For the formation energy from the elements, the calculation gives -265 meV per atom. The total magnetic moment comes out at 1.09 μB per formula unit.

a = 4.3096 Å, b = 4.3096 Å, c = 4.3096 Å
α = 60.00°, β = 60.00°, γ = 60.00°
With the nearest neighbours (Å) after each atom.
Atoms (fractional coordinates):
Sc1 0.0000 0.0000 0.0000  4 Ni 2.64, 4 Ir 2.64
Ni1 0.5000 0.5000 0.5000  4 Ni 2.64, 4 Ir 2.64
Ni2 0.7500 0.7500 0.7500  4 Ni 2.64, 4 Sc 2.64
Ir1 0.2500 0.2500 0.2500  4 Ni 2.64, 4 Sc 2.64

---

[4]
Compound: PrTi2Mo
Source: Alexandria
Functional: GGA-PBE
Structure: relaxed

The total energy is -7.7620 eV per atom. Its symmetry is P4/mmm. For the formation energy from the elements, the calculation gives 88 meV per atom. The total magnetic moment comes out at 0.00 μB per formula unit.

a = 3.2720 Å, b = 3.2720 Å, c = 7.8060 Å
α = 90.00°, β = 90.00°, γ = 90.00°
With the nearest neighbours (Å) after each atom.
Atoms (fractional coordinates):
Pr1 0.0000 0.0000 0.0000  4 Pr 3.27, 8 Ti 3.40
Ti1 0.5000 0.5000 0.3188  4 Mo 2.71, 1 Ti 2.83
Ti2 0.5000 0.5000 0.6812  4 Mo 2.71, 1 Ti 2.83
Mo1 0.0000 0.0000 0.5000  8 Ti 2.71

---

[5]
Compound: CaCe2Ga
Source: Alexandria
Functional: GGA-PBE
Structure: relaxed

The total energy is -4.3578 eV per atom. Its symmetry is P4/mmm. For the formation energy from the elements, the calculation gives -134 meV per atom. The total magnetic moment comes out at 1.99 μB per formula unit.

a = 3.9482 Å, b = 3.9482 Å, c = 7.6645 Å
α = 90.00°, β = 90.00°, γ = 90.00°
With the nearest neighbours (Å) after each atom.
Atoms (fractional coordinates):
Ca1 0.0000 0.0000 0.0000  8 Ce 3.73, 2 Ga 3.83, 4 Ca 3.95
Ce1 0.5000 0.5000 0.3223  1 Ce 2.72
Ce2 0.5000 0.5000 0.6777  1 Ce 2.72
Ga1 0.0000 0.0000 0.5000  8 Ce 3.11

---

[6]
Compound: AcPr2MgHg4
Source: Alexandria
Functional: GGA-PBE
Structure: relaxed

The total energy is -2.4912 eV per atom. Its symmetry is R-3m. For the formation energy from the elements, the calculation gives -433 meV per atom. The total magnetic moment comes out at 0.00 μB per formula unit.

a = 9.9655 Å, b = 9.9655 Å, c = 9.9655 Å
α = 30.77°, β = 30.77°, γ = 30.77°
With the nearest neighbours (Å) after each atom.
Atoms (fractional coordinates):
Ac1 0.0000 0.0000 0.0000  8 Hg 3.38-3.62
Pr1 0.2387 0.2387 0.2387  7 Hg 3.18-3.30
Pr2 0.7613 0.7613 0.7613  7 Hg 3.18-3.30
Mg1 0.5000 0.5000 0.5000  8 Hg 3.25-3.30
Hg1 0.1270 0.1270 0.1270  4 Pr 3.18-3.19, 3 Mg 3.25
Hg2 0.3839 0.3839 0.3839  3 Pr 3.30, 1 Mg 3.30, 3 Ac 3.38
Hg3 0.6161 0.6161 0.6161  3 Pr 3.30, 1 Mg 3.30, 3 Ac 3.38
Hg4 0.8730 0.8730 0.8730  4 Pr 3.18-3.19, 3 Mg 3.25

---

[7]
Compound: TaCdSe2
Source: Alexandria
Functional: GGA-PBE
Structure: relaxed

The total energy is -4.2996 eV per atom. The value obtained for the formation energy without anion corrections is 245 kJ/mol of formula units. Its symmetry is F-43m. The total magnetic moment comes out at 0.82 μB per formula unit.

a = 4.8485 Å, b = 4.8485 Å, c = 4.8485 Å
α = 60.00°, β = 60.00°, γ = 60.00°
With the nearest neighbours (Å) after each atom.
Atoms (fractional coordinates):
Ta1 0.0000 0.0000 0.0000  4 Cd 2.97, 4 Se 2.97
Cd1 0.7500 0.7500 0.7500  4 Se 2.97, 4 Ta 2.97
Se1 0.2500 0.2500 0.2500  4 Se 2.97, 4 Ta 2.97
Se2 0.5000 0.5000 0.5000  4 Cd 2.97, 4 Se 2.97

---

[8]
Compound: FeTcPb2Au
Source: Alexandria
Functional: GGA-PBE
Structure: relaxed

The total energy is -4.3562 eV per atom. Its symmetry is P4/mmm. For the formation energy from the elements, the calculation gives 1548 meV per atom. The total magnetic moment comes out at 6.89 μB per formula unit.

a = 5.3815 Å, b = 5.3815 Å, c = 5.2436 Å
α = 90.00°, β = 90.00°, γ = 90.00°
With the nearest neighbours (Å) after each atom.
Atoms (fractional coordinates):
Fe1 0.0000 0.0000 0.0000  8 Pb 3.76, 4 Tc 3.81
Tc1 0.5000 0.5000 0.0000  2 Au 2.62
Pb1 0.0000 0.5000 0.5000  2 Au 2.69
Pb2 0.5000 0.0000 0.5000  2 Au 2.69
Au1 0.5000 0.5000 0.5000  2 Tc 2.62, 4 Pb 2.69